(1)
18
Lattice="5.9271 0.0000 0.0000 0.0000 5.9271 0.0000 0.0000 0.0000 10.0414" Properties=species:S:1:pos:R:3 comment="PBE-GGA HfTi4Nb4, optimized geometry" e_form_mev_per_atom=403.9 pbc="T T T"
Hf 1.4818 4.4453 2.5104
Hf 4.4453 1.4818 7.5311
Ti 0.1280 1.4818 0.3189
Ti 1.4818 0.1280 5.3397
Ti 1.4818 2.8355 5.3397
Ti 2.8355 1.4818 0.3189
Ti 3.0916 4.4453 9.7225
Ti 4.4453 3.0916 4.7018
Ti 4.4453 5.7990 4.7018
Ti 5.7990 4.4453 9.7225
Nb 0.1905 1.4818 3.2200
Nb 1.4818 0.1905 8.2408
Nb 1.4818 2.7730 8.2408
Nb 2.7730 1.4818 3.2200
Nb 3.1540 4.4453 6.8214
Nb 4.4453 3.1540 1.8007
Nb 4.4453 5.7366 1.8007
Nb 5.7366 4.4453 6.8214

---

(2)
5
Lattice="5.8811 0.0000 0.0000 0.0000 5.8811 0.0000 0.0000 0.0000 5.9480" Properties=species:S:1:pos:R:3 comment="PBE-GGA Sb2TeICl, optimized geometry" e_form_raw_ev_per_atom=0.59 de_polymorph_ev_per_atom=0.0000 pbc="T T T"
Sb 0.0000 2.9406 0.0000
Sb 2.9406 0.0000 0.0000
Te 0.0000 0.0000 0.0000
I 0.0000 0.0000 2.9740
Cl 2.9406 2.9406 2.9740

---

(3)
3
Lattice="-2.1737 2.1737 6.0028 2.1737 -2.1737 6.0028 2.1737 2.1737 -6.0028" Properties=species:S:1:pos:R:3 comment="PBE-GGA AcPrGd, optimized geometry" e_form_mev_per_atom=90.2 de_polymorph_ev_per_atom=0.0521 pbc="T T T"
Ac 0.0000 0.0000 0.0000
Pr 0.0000 0.0000 3.7765
Gd 0.0000 0.0000 8.1034

---

no.,theoretical density (Mg/m³),E (eV per atom)
1,6.982,-8.69
2,4.306,-2.36
3,7.686,-7.57